1.
# SrPrH6Rh2, optimized geometry, DFT GGA-PBE
data_SrPrH6Rh2
_cell_length_a 7.9454
_cell_length_b 9.8538
_cell_length_c 6.6921
_cell_angle_alpha 90.00
_cell_angle_beta 111.53
_cell_angle_gamma 90.00
_space_group_name_H-M_alt 'C 1 2/c 1'
_space_group_IT_number 15
loop_
_space_group_symop_operation_xyz
'x,y,z'
'-x,-y,-z'
'-x,y,-z+1/2'
'x,-y,z+1/2'
'x+1/2,y+1/2,z'
'-x+1/2,-y+1/2,-z'
'-x+1/2,y+1/2,-z+1/2'
'x+1/2,-y+1/2,z+1/2'
loop_
_atom_site_label
_atom_site_fract_x
_atom_site_fract_y
_atom_site_fract_z
_atom_site_occupancy
Sr1 0.0000 0.1585 0.2500 1
Pr1 0.0000 0.4078 0.7500 1
H1 0.0834 0.3846 0.1261 1
H2 0.1760 0.2517 0.6257 1
H3 0.1834 0.0262 0.0162 1
Rh1 0.1893 0.1374 0.8199 1
# V   12.18 A^3/atom
# VASP energy   -4.5531 eV/atom



2.
# TbPrH8Rh2, optimized geometry, DFT GGA-PBE
data_TbPrH8Rh2
_cell_length_a 4.9288
_cell_length_b 4.9288
_cell_length_c 17.8650
_cell_angle_alpha 90.00
_cell_angle_beta 90.00
_cell_angle_gamma 120.00
_space_group_name_H-M_alt 'R -3'
_space_group_IT_number 148
_space_group_name_Hall '-R 3'
loop_
_atom_site_label
_atom_site_fract_x
_atom_site_fract_y
_atom_site_fract_z
_atom_site_occupancy
Tb1 0.0000 0.0000 0.0000 1
Pr1 0.0000 0.0000 0.5000 1
H1 0.0000 0.0000 0.1791 1
H2 0.0483 0.6111 0.0586 1
Rh1 0.0000 0.0000 0.2693 1
# V   10.44 A^3/atom
# VASP energy   -4.5479 eV/atom



3.
# PrTmH8Rh2, optimized geometry, DFT GGA-PBE
data_PrTmH8Rh2
_cell_length_a 4.8978
_cell_length_b 4.8978
_cell_length_c 17.7931
_cell_angle_alpha 90.00
_cell_angle_beta 90.00
_cell_angle_gamma 120.00
_space_group_name_H-M_alt 'R -3'
_space_group_IT_number 148
_space_group_name_Hall '-R 3'
loop_
_atom_site_label
_atom_site_fract_x
_atom_site_fract_y
_atom_site_fract_z
_atom_site_occupancy
Pr1 0.0000 0.0000 0.0000 1
Tm1 0.0000 0.0000 0.5000 1
H1 0.0000 0.0000 0.3191 1
H2 0.0355 0.2888 0.8935 1
Rh1 0.0000 0.0000 0.2286 1
# V   10.27 A^3/atom
# VASP energy   -4.5412 eV/atom



4.
# Pr2ZnH12Rh3, optimized geometry, DFT GGA-PBE
data_Pr2ZnH12Rh3
_cell_length_a 6.3236
_cell_length_b 6.3236
_cell_length_c 14.1843
_cell_angle_alpha 90.00
_cell_angle_beta 90.00
_cell_angle_gamma 120.00
_space_group_name_H-M_alt 'R -3 m'
_space_group_IT_number 166
_space_group_name_Hall '-R 3 2"'
loop_
_atom_site_label
_atom_site_fract_x
_atom_site_fract_y
_atom_site_fract_z
_atom_site_occupancy
Pr1 0.0000 0.0000 0.1211 1
Zn1 0.0000 0.0000 0.5000 1
H1 0.0165 0.5082 0.1181 1
H2 0.0287 0.5144 0.3428 1
Rh1 0.0000 0.5000 0.0000 1
# V   9.10 A^3/atom
# VASP energy   -4.3030 eV/atom



5.
# PrZnH8Rh2, optimized geometry, DFT GGA-PBE
data_PrZnH8Rh2
_cell_length_a 4.7267
_cell_length_b 4.7267
_cell_length_c 16.8629
_cell_angle_alpha 90.00
_cell_angle_beta 90.00
_cell_angle_gamma 120.00
_space_group_name_H-M_alt 'R -3'
_space_group_IT_number 148
_space_group_name_Hall '-R 3'
loop_
_atom_site_label
_atom_site_fract_x
_atom_site_fract_y
_atom_site_fract_z
_atom_site_occupancy
Pr1 0.0000 0.0000 0.0000 1
Zn1 0.0000 0.0000 0.5000 1
H1 0.0000 0.0000 0.3058 1
H2 0.0032 0.2868 0.8841 1
Rh1 0.0000 0.0000 0.2045 1
# V   9.06 A^3/atom
# VASP energy   -4.1290 eV/atom



6.
# PrH10Ru3, optimized geometry, DFT GGA-PBE
data_PrH10Ru3
_cell_length_a 9.3938
_cell_length_b 9.3938
_cell_length_c 9.3938
_cell_angle_alpha 90.00
_cell_angle_beta 90.00
_cell_angle_gamma 90.00
_space_group_name_H-M_alt 'F m -3 m'
_space_group_IT_number 225
_space_group_name_Hall '-F 4 2 3'
loop_
_atom_site_label
_atom_site_fract_x
_atom_site_fract_y
_atom_site_fract_z
_atom_site_occupancy
Pr1 0.2500 0.2500 0.2500 1
H1 0.0000 0.1646 0.1646 1
H2 0.1035 0.1035 0.3965 1
Ru1 0.0000 0.0000 0.2609 1
# V   7.40 A^3/atom
# VASP energy   -4.8241 eV/atom



7.
# Pr2H10Ru3, optimized geometry, DFT GGA-PBE
data_Pr2H10Ru3
_cell_length_a 15.5923
_cell_length_b 5.3080
_cell_length_c 7.4935
_cell_angle_alpha 90.00
_cell_angle_beta 112.03
_cell_angle_gamma 90.00
_space_group_name_H-M_alt 'C 1 2/m 1'
_space_group_IT_number 12
loop_
_space_group_symop_operation_xyz
'x,y,z'
'-x,-y,-z'
'-x,y,-z'
'x,-y,z'
'x+1/2,y+1/2,z'
'-x+1/2,-y+1/2,-z'
'-x+1/2,y+1/2,-z'
'x+1/2,-y+1/2,z'
loop_
_atom_site_label
_atom_site_fract_x
_atom_site_fract_y
_atom_site_fract_z
_atom_site_occupancy
Pr1 0.1040 0.0000 0.2312 1
Pr2 0.1960 0.0000 0.7781 1
H1 0.0000 0.2850 0.0000 1
H2 0.0268 0.0000 0.6618 1
H3 0.0387 0.5000 0.7070 1
H4 0.1115 0.2383 0.5046 1
H5 0.1334 0.5000 0.2359 1
H6 0.1673 0.2659 0.0044 1
H7 0.2262 0.5000 0.7447 1
H8 0.2500 0.2500 0.5000 1
Ru1 0.0000 0.2656 0.5000 1
Ru2 0.0886 0.5000 0.9824 1
Ru3 0.1808 0.5000 0.5013 1
# V   9.58 A^3/atom
# VASP energy   -5.0153 eV/atom



8.
# Pr2H8Ru, optimized geometry, DFT GGA-PBE
data_Pr2H8Ru
_cell_length_a 13.9229
_cell_length_b 3.7288
_cell_length_c 4.3973
_cell_angle_alpha 90.00
_cell_angle_beta 108.37
_cell_angle_gamma 90.00
_space_group_name_H-M_alt 'C 1 2/m 1'
_space_group_IT_number 12
loop_
_space_group_symop_operation_xyz
'x,y,z'
'-x,-y,-z'
'-x,y,-z'
'x,-y,z'
'x+1/2,y+1/2,z'
'-x+1/2,-y+1/2,-z'
'-x+1/2,y+1/2,-z'
'x+1/2,-y+1/2,z'
loop_
_atom_site_label
_atom_site_fract_x
_atom_site_fract_y
_atom_site_fract_z
_atom_site_occupancy
Pr1 0.1446 0.0000 0.1460 1
H1 0.9998 0.0000 0.3246 1
H2 0.1039 0.5000 0.8343 1
H3 0.1075 0.5000 0.3912 1
H4 0.2389 0.0000 0.7402 1
Ru1 0.0000 0.5000 0.5000 1
# V   9.85 A^3/atom
# VASP energy   -4.5013 eV/atom



9.
# Pr2HRu, optimized geometry, DFT GGA-PBE
data_Pr2HRu
_cell_length_a 3.6260
_cell_length_b 3.6260
_cell_length_c 22.2576
_cell_angle_alpha 90.00
_cell_angle_beta 90.00
_cell_angle_gamma 120.00
_space_group_name_H-M_alt 'R 3 m'
_space_group_IT_number 160
_space_group_name_Hall 'R 3 -2"'
loop_
_atom_site_label
_atom_site_fract_x
_atom_site_fract_y
_atom_site_fract_z
_atom_site_occupancy
Pr1 0.0000 0.0000 0.0000 1
Pr2 0.0000 0.0000 0.1543 1
H1 0.0000 0.0000 0.4109 1
Ru1 0.0000 0.0000 0.5776 1
# Relative energy among the computed polymorphs   0.57 eV/f.u.
# V   21.12 A^3/atom



10.
# PrH4Ru, optimized geometry, DFT GGA-PBE
data_PrH4Ru
_cell_length_a 5.1299
_cell_length_b 9.6264
_cell_length_c 5.5828
_cell_angle_alpha 90.00
_cell_angle_beta 106.62
_cell_angle_gamma 90.00
_space_group_name_H-M_alt 'C 1 2/c 1'
_space_group_IT_number 15
loop_
_space_group_symop_operation_xyz
'x,y,z'
'-x,-y,-z'
'-x,y,-z+1/2'
'x,-y,z+1/2'
'x+1/2,y+1/2,z'
'-x+1/2,-y+1/2,-z'
'-x+1/2,y+1/2,-z+1/2'
'x+1/2,-y+1/2,z+1/2'
loop_
_atom_site_label
_atom_site_fract_x
_atom_site_fract_y
_atom_site_fract_z
_atom_site_occupancy
Pr1 0.0000 0.1404 0.2500 1
H1 0.0090 0.3791 0.9640 1
H2 0.1579 0.0754 0.6701 1
Ru1 0.0000 0.4500 0.2500 1
# Relative energy among the computed polymorphs   0.61 eV/f.u.
# V   11.01 A^3/atom



11.
# PrH6Ru, optimized geometry, DFT GGA-PBE
data_PrH6Ru
_cell_length_a 5.4006
_cell_length_b 6.3125
_cell_length_c 4.3915
_cell_angle_alpha 90.00
_cell_angle_beta 100.31
_cell_angle_gamma 90.00
_space_group_name_H-M_alt 'C 1 2/m 1'
_space_group_IT_number 12
loop_
_space_group_symop_operation_xyz
'x,y,z'
'-x,-y,-z'
'-x,y,-z'
'x,-y,z'
'x+1/2,y+1/2,z'
'-x+1/2,-y+1/2,-z'
'-x+1/2,y+1/2,-z'
'x+1/2,-y+1/2,z'
loop_
_atom_site_label
_atom_site_fract_x
_atom_site_fract_y
_atom_site_fract_z
_atom_site_occupancy
Pr1 0.0000 0.0000 0.0000 1
H1 0.1023 0.3306 0.7998 1
H2 0.1939 0.0000 0.5524 1
Ru1 0.0000 0.5000 0.5000 1
# Relative energy among the computed polymorphs   0.36 eV/f.u.
# V   9.21 A^3/atom



12.
# PrHRu, optimized geometry, DFT GGA-PBE
data_PrHRu
_cell_length_a 3.3957
_cell_length_b 3.3957
_cell_length_c 4.6546
_cell_angle_alpha 90.00
_cell_angle_beta 90.00
_cell_angle_gamma 120.00
_space_group_name_H-M_alt 'P 3 m 1'
_space_group_IT_number 156
loop_
_space_group_symop_operation_xyz
'x,y,z'
'-y,x-y,z'
'-x+y,-x,z'
'-y,-x,z'
'-x+y,y,z'
'x,x-y,z'
loop_
_atom_site_label
_atom_site_fract_x
_atom_site_fract_y
_atom_site_fract_z
_atom_site_occupancy
Pr1 0.0000 0.0000 0.0000 1
H1 0.3333 0.6667 0.4985 1
Ru1 0.6667 0.3333 0.4999 1
# Relative energy among the computed polymorphs   0.15 eV/f.u.
# V   15.49 A^3/atom



13.
# Pr2HRu, optimized geometry, DFT GGA-PBE
data_Pr2HRu
_cell_length_a 5.7733
_cell_length_b 5.5295
_cell_length_c 12.1345
_cell_angle_alpha 90.00
_cell_angle_beta 114.44
_cell_angle_gamma 90.00
_space_group_name_H-M_alt 'P 1 2/c 1'
_space_group_IT_number 13
loop_
_space_group_symop_operation_xyz
'x,y,z'
'-x,-y,-z'
'-x,y,-z+1/2'
'x,-y,z+1/2'
loop_
_atom_site_label
_atom_site_fract_x
_atom_site_fract_y
_atom_site_fract_z
_atom_site_occupancy
Pr1 0.0796 0.2501 0.1167 1
Pr2 0.3627 0.2497 0.8700 1
H1 0.0675 0.2495 0.6232 1
Ru1 0.4130 0.2503 0.3608 1
# Relative energy among the computed polymorphs   0.00 eV/f.u.
# V   22.04 A^3/atom



14.
# PrH5Ru, optimized geometry, DFT GGA-PBE
data_PrH5Ru
_cell_length_a 3.6770
_cell_length_b 5.1111
_cell_length_c 6.8788
_cell_angle_alpha 90.00
_cell_angle_beta 90.00
_cell_angle_gamma 90.00
_space_group_name_H-M_alt 'I m m m'
_space_group_IT_number 71
_space_group_name_Hall '-I 2 2'
loop_
_atom_site_label
_atom_site_fract_x
_atom_site_fract_y
_atom_site_fract_z
_atom_site_occupancy
Pr1 0.0000 0.0000 0.0000 1
H1 0.0000 0.2462 0.3338 1
H2 0.0000 0.5000 0.0000 1
Ru1 0.0000 0.0000 0.5000 1
# V   9.23 A^3/atom
# VASP energy   -4.7490 eV/atom



15.
# PrH6Ru, optimized geometry, DFT GGA-PBE
data_PrH6Ru
_cell_length_a 4.7671
_cell_length_b 4.7671
_cell_length_c 10.4688
_cell_angle_alpha 90.00
_cell_angle_beta 90.00
_cell_angle_gamma 120.00
_space_group_name_H-M_alt 'R -3 m'
_space_group_IT_number 166
_space_group_name_Hall '-R 3 2"'
loop_
_atom_site_label
_atom_site_fract_x
_atom_site_fract_y
_atom_site_fract_z
_atom_site_occupancy
Pr1 0.0000 0.0000 0.0000 1
H1 0.0361 0.5181 0.9042 1
Ru1 0.0000 0.0000 0.5000 1
# Relative energy among the computed polymorphs   0.00 eV/f.u.
# V   8.58 A^3/atom



16.
# Pr12H5Ru3, optimized geometry, DFT GGA-PBE
data_Pr12H5Ru3
_cell_length_a 15.7139
_cell_length_b 15.7139
_cell_length_c 15.7139
_cell_angle_alpha 90.00
_cell_angle_beta 90.00
_cell_angle_gamma 90.00
_space_group_name_H-M_alt 'I a -3 d'
_space_group_IT_number 230
_space_group_name_Hall '-I 4bd 2c 3'
loop_
_atom_site_label
_atom_site_fract_x
_atom_site_fract_y
_atom_site_fract_z
_atom_site_occupancy
Pr1 0.0325 0.0641 0.6548 1
H1 0.0000 0.0000 0.0000 1
H2 0.0000 0.2500 0.3750 1
Ru1 0.0000 0.2500 0.1250 1
# V   24.25 A^3/atom
# VASP energy   -5.3122 eV/atom